1.
A relaxed structure of CeLu2Pa. Source: the Alexandria database, functional GGA-PBE.

Calculated values
**Excess energy over the best structure of this formula in the dataset**: 0.000 eV per atom
**N(E_F)**: 9.8 states/eV/cell
**Formation enthalpy at 0 K**: 152 meV per atom
**Raw total energy**: -23.865 eV for the cell shown
**Magnetic moment**: 0.22 μB per atom
**Space-group type**: P4/mmm (123)

Lattice parameters (Å, degrees): 3.3304 3.3304 10.1255 90.00 90.00 90.00
Last column: nearest neighbours and their distance in Å.
Atoms (fractional coordinates):
Ce (0.0000, 0.0000, 0.0000)  4 Ce 3.33, 8 Lu 3.56
Lu (0.5000, 0.5000, 0.2640)  4 Lu 3.33, 4 Pa 3.36, 4 Ce 3.56
Lu (0.5000, 0.5000, 0.7360)  4 Lu 3.33, 4 Pa 3.36, 4 Ce 3.56
Pa (0.0000, 0.0000, 0.5000)  4 Pa 3.33, 8 Lu 3.36

=====

2.
A relaxed structure of Sr2AlAu. Source: the Alexandria database, functional GGA-PBE.

Calculated values
**N(E_F)**: 5.9 states/eV/cell
**Formation enthalpy at 0 K**: -479 meV per atom
**Raw total energy**: -24.601 eV for the cell shown
**Magnetic moment**: 0.00 μB per atom
**Space-group type**: P2_1/m (11)

Lattice parameters (Å, degrees): 6.1772 4.5917 9.2771 90.00 103.88 90.00
Last column: nearest neighbours and their distance in Å.
Atoms (fractional coordinates):
Sr (0.2138, 0.2500, 0.4280)  3 Au 3.32-3.52, 4 Al 3.33-3.53
Sr (0.2780, 0.7500, 0.0734)  3 Al 3.33-3.52, 4 Au 3.35-3.51
Sr (0.7220, 0.2500, 0.9266)  3 Al 3.33-3.52, 4 Au 3.35-3.51
Sr (0.7862, 0.7500, 0.5720)  3 Au 3.32-3.52, 4 Al 3.33-3.53
Al (0.3316, 0.7500, 0.7251)  2 Au 2.59
Al (0.6684, 0.2500, 0.2749)  2 Au 2.59
Au (0.1710, 0.2500, 0.7781)  2 Al 2.59
Au (0.8290, 0.7500, 0.2219)  2 Al 2.59

=====

3.
A relaxed structure of V3Te2Se2. Source: the Alexandria database, functional GGA-PBE.

Calculated values
**Excess energy over the best structure of this formula in the dataset**: 0.000 eV per atom
**Raw formation energy**: -0.513 eV per atom
**N(E_F)**: 5.6 states/eV/cell
**Raw total energy**: -44.200 eV for the cell shown
**Magnetic moment**: 0.72 μB per atom
**Space-group type**: C2/m (12)

Lattice parameters (Å, degrees): 7.0523 7.0523 6.5545 116.53 116.53 30.95
Last column: nearest neighbours and their distance in Å.
Atoms (fractional coordinates):
V (0.0000, 0.0000, 0.0000)  2 Se 2.55, 4 Te 2.75
V (0.2568, 0.2568, 0.1962)  3 Se 2.46-2.52
V (0.7432, 0.7432, 0.8038)  3 Se 2.46-2.52
Te (0.3644, 0.3644, 0.6911)  5 V 2.75-2.88
Te (0.6356, 0.6356, 0.3089)  5 V 2.75-2.88
Se (0.1168, 0.1168, 0.7886)  4 V 2.46-2.55
Se (0.8832, 0.8832, 0.2114)  4 V 2.46-2.55

=====

4.
A relaxed structure of Pm5TePb2. Source: the Alexandria database, functional GGA-PBE.

Calculated values
**Raw formation energy**: -0.597 eV per atom
**N(E_F)**: 8.0 states/eV/cell
**Raw total energy**: -39.091 eV for the cell shown
**Magnetic moment**: 0.00 μB per atom
**Space-group type**: P1 (1)

Lattice parameters (Å, degrees): 6.3834 6.4263 6.4331 80.79 81.97 76.19
Last column: nearest neighbours and their distance in Å.
Atoms (fractional coordinates):
Pm (0.0000, 0.0000, 0.0000)  4 Pb 3.28-3.43, 2 Pm 3.50-3.60, 1 Te 3.62
Pm (0.0189, 0.3905, 0.4121)  2 Te 3.26-3.37, 4 Pb 3.30-3.41
Pm (0.4298, 0.4263, 0.8164)  3 Pb 3.24-3.54, 2 Te 3.25-3.44, 2 Pm 3.37-3.53
Pm (0.5060, 0.8218, 0.1955)  2 Pb 3.11-3.33, 2 Te 3.21-3.39, 2 Pm 3.29-3.38
Pm (0.5707, 0.9312, 0.6610)  1 Te 3.06, 2 Pb 3.24-3.28, 3 Pm 3.29-3.38
Te (0.5448, 0.3095, 0.3038)  6 Pm 3.06-3.39
Pb (0.0951, 0.8598, 0.5213)  7 Pm 3.11-3.43, 1 Pb 3.25
Pb (0.9050, 0.5331, 0.9001)  8 Pm 3.24-3.41, 1 Pb 3.25, 1 Te 3.58

=====

5.
A relaxed structure of HoMg4Cd5. Source: the Alexandria database, functional GGA-PBE.

Calculated values
**N(E_F)**: 3.8 states/eV/cell
**Formation enthalpy at 0 K**: -152 meV per atom
**Raw total energy**: -17.048 eV for the cell shown
**Magnetic moment**: 0.01 μB per atom
**Space-group type**: P4/mmm (123)

Lattice parameters (Å, degrees): 3.6158 3.6158 17.1080 90.00 90.00 90.00
Last column: nearest neighbours and their distance in Å.
Atoms (fractional coordinates):
Ho (0.0000, 0.0000, 0.0000)  8 Cd 3.23, 2 Mg 3.61, 4 Ho 3.62
Mg (0.0000, 0.0000, 0.2113)  8 Cd 3.04-3.05, 1 Mg 3.29
Mg (0.0000, 0.0000, 0.4039)  8 Cd 3.04, 2 Mg 3.29
Mg (0.0000, 0.0000, 0.5961)  8 Cd 3.04, 2 Mg 3.29
Mg (0.0000, 0.0000, 0.7887)  8 Cd 3.04-3.05, 1 Mg 3.29
Cd (0.5000, 0.5000, 0.1156)  4 Mg 3.04, 4 Ho 3.23, 1 Cd 3.29
Cd (0.5000, 0.5000, 0.3081)  8 Mg 3.04-3.05, 2 Cd 3.28-3.29
Cd (0.5000, 0.5000, 0.5000)  8 Mg 3.04, 2 Cd 3.28
Cd (0.5000, 0.5000, 0.6919)  8 Mg 3.04-3.05, 2 Cd 3.28-3.29
Cd (0.5000, 0.5000, 0.8844)  4 Mg 3.04, 4 Ho 3.23, 1 Cd 3.29

=====

6.
A relaxed structure of BaLa2Ni. Source: the Alexandria database, functional GGA-PBE.

Calculated values
**Excess energy over the best structure of this formula in the dataset**: 0.524 eV per atom
**N(E_F)**: 5.8 states/eV/cell
**Formation enthalpy at 0 K**: 423 meV per atom
**Raw total energy**: -15.867 eV for the cell shown
**Magnetic moment**: 0.00 μB per atom
**Space-group type**: C2/m (12)

Lattice parameters (Å, degrees): 6.6988 6.6988 3.7718 103.63 103.63 121.18
Last column: nearest neighbours and their distance in Å.
Atoms (fractional coordinates):
Ba (0.0000, 0.0000, 0.0000)  4 Ni 3.29-3.62, 4 La 3.43
La (0.0000, 0.5000, 0.5000)  4 La 3.29-3.62, 2 Ba 3.43, 2 Ni 3.43
La (0.5000, 0.0000, 0.5000)  4 La 3.29-3.62, 2 Ba 3.43, 2 Ni 3.43
Ni (0.5000, 0.5000, 0.0000)  4 Ba 3.29-3.62, 4 La 3.43

=====

Please write out number 1 again, unchanged.
A relaxed structure of CeLu2Pa. Source: the Alexandria database, functional GGA-PBE.

Calculated values
**Excess energy over the best structure of this formula in the dataset**: 0.000 eV per atom
**N(E_F)**: 9.8 states/eV/cell
**Formation enthalpy at 0 K**: 152 meV per atom
**Raw total energy**: -23.865 eV for the cell shown
**Magnetic moment**: 0.22 μB per atom
**Space-group type**: P4/mmm (123)

Lattice parameters (Å, degrees): 3.3304 3.3304 10.1255 90.00 90.00 90.00
Last column: nearest neighbours and their distance in Å.
Atoms (fractional coordinates):
Ce (0.0000, 0.0000, 0.0000)  4 Ce 3.33, 8 Lu 3.56
Lu (0.5000, 0.5000, 0.2640)  4 Lu 3.33, 4 Pa 3.36, 4 Ce 3.56
Lu (0.5000, 0.5000, 0.7360)  4 Lu 3.33, 4 Pa 3.36, 4 Ce 3.56
Pa (0.0000, 0.0000, 0.5000)  4 Pa 3.33, 8 Lu 3.36